Entry 1:
# H3RhW PBE optimized geometry
# energy: -28.31 eV for the cell shown
data_H3RhW
_chemical_formula_sum 'H3 Rh1 W1'
_cell_length_a 3.4029
_cell_length_b 3.4029
_cell_length_c 3.4029
_cell_angle_alpha 90.00
_cell_angle_beta 90.00
_cell_angle_gamma 90.00
_space_group_name_H-M_alt 'P m -3 m'
_space_group_IT_number 221
_space_group_name_Hall '-P 4 2 3'
loop_
_atom_site_label
_atom_site_type_symbol
_atom_site_fract_x
_atom_site_fract_y
_atom_site_fract_z
H1 H 0.0000 0.0000 0.5000
Rh1 Rh 0.0000 0.0000 0.0000
W1 W 0.5000 0.5000 0.5000


Entry 2:
# CeY2IrN4 PBE optimized geometry
# energy relative to the elements, uncorrected: -8.00 eV/f.u.
data_CeY2IrN4
_chemical_formula_sum 'Ce4 Y8 Ir4 N16'
_cell_length_a 3.3778
_cell_length_b 11.7153
_cell_length_c 11.6756
_cell_angle_alpha 90.00
_cell_angle_beta 90.00
_cell_angle_gamma 90.00
_space_group_name_H-M_alt 'C m c m'
_space_group_IT_number 63
_space_group_name_Hall '-C 2c 2'
loop_
_atom_site_label
_atom_site_type_symbol
_atom_site_fract_x
_atom_site_fract_y
_atom_site_fract_z
Ce1 Ce 0.0000 0.1149 0.2500
Y1 Y 0.0000 0.3708 0.0467
Ir1 Ir 0.0000 0.1458 0.7500
N1 N 0.0000 0.0000 0.0000
N2 N 0.0000 0.2770 0.6314
N3 N 0.0000 0.4579 0.2500


Entry 3:
# AsRuRh2 PBE optimized geometry
# energy: -57.53 eV for the cell shown
data_AsRuRh2
_chemical_formula_sum 'As2 Ru2 Rh4'
_cell_length_a 9.1596
_cell_length_b 2.8476
_cell_length_c 4.7491
_cell_angle_alpha 90.00
_cell_angle_beta 109.89
_cell_angle_gamma 90.00
_space_group_name_H-M_alt 'C 1 m 1'
_space_group_IT_number 8
loop_
_space_group_symop_operation_xyz
'x,y,z'
'x,-y,z'
'x+1/2,y+1/2,z'
'x+1/2,-y+1/2,z'
loop_
_atom_site_label
_atom_site_type_symbol
_atom_site_fract_x
_atom_site_fract_y
_atom_site_fract_z
As1 As 0.0000 0.0000 0.0000
Ru1 Ru 0.2884 0.0000 0.6604
Rh1 Rh 0.0234 0.5000 0.4567
Rh2 Rh 0.2373 0.5000 0.1377


Entry 4:
# KGdHg2 PBE optimized geometry
# energy: -17.00 eV for the cell shown
data_KGdHg2
_chemical_formula_sum 'K1 Gd1 Hg2'
_cell_length_a 3.7939
_cell_length_b 3.7939
_cell_length_c 8.4900
_cell_angle_alpha 90.00
_cell_angle_beta 90.00
_cell_angle_gamma 90.00
_space_group_name_H-M_alt 'P 4/m m m'
_space_group_IT_number 123
_space_group_name_Hall '-P 4 2'
loop_
_atom_site_label
_atom_site_type_symbol
_atom_site_fract_x
_atom_site_fract_y
_atom_site_fract_z
K1 K 0.0000 0.0000 0.0000
Gd1 Gd 0.0000 0.0000 0.5000
Hg1 Hg 0.5000 0.5000 0.2920


Entry 5:
# BiTe3Pd PBE optimized geometry
# energy relative to the elements, uncorrected: 0.89 eV/f.u.
data_BiTe3Pd
_chemical_formula_sum 'Bi1 Te3 Pd1'
_cell_length_a 5.2927
_cell_length_b 5.2927
_cell_length_c 5.2927
_cell_angle_alpha 90.00
_cell_angle_beta 90.00
_cell_angle_gamma 90.00
_space_group_name_H-M_alt 'P m -3 m'
_space_group_IT_number 221
_space_group_name_Hall '-P 4 2 3'
loop_
_atom_site_label
_atom_site_type_symbol
_atom_site_fract_x
_atom_site_fract_y
_atom_site_fract_z
Bi1 Bi 0.0000 0.0000 0.0000
Te1 Te 0.0000 0.5000 0.5000
Pd1 Pd 0.5000 0.5000 0.5000


Entry 6:
# ScCdCl2 PBE optimized geometry
# energy relative to the elements, uncorrected: -4.80 eV/f.u.
data_ScCdCl2
_chemical_formula_sum 'Sc1 Cd1 Cl2'
_cell_length_a 3.1999
_cell_length_b 3.1999
_cell_length_c 9.7875
_cell_angle_alpha 90.00
_cell_angle_beta 90.00
_cell_angle_gamma 90.00
_space_group_name_H-M_alt 'P 4/m m m'
_space_group_IT_number 123
_space_group_name_Hall '-P 4 2'
loop_
_atom_site_label
_atom_site_type_symbol
_atom_site_fract_x
_atom_site_fract_y
_atom_site_fract_z
Sc1 Sc 0.0000 0.0000 0.0000
Cd1 Cd 0.0000 0.0000 0.5000
Cl1 Cl 0.5000 0.5000 0.1560


Entry 7:
# YScCuC2 PBE optimized geometry
# energy: -30.44 eV for the cell shown
data_YScCuC2
_chemical_formula_sum 'Y1 Sc1 Cu1 C2'
_cell_length_a 4.2550
_cell_length_b 4.2550
_cell_length_c 4.5893
_cell_angle_alpha 90.00
_cell_angle_beta 90.00
_cell_angle_gamma 90.00
_space_group_name_H-M_alt 'P 4/m m m'
_space_group_IT_number 123
_space_group_name_Hall '-P 4 2'
loop_
_atom_site_label
_atom_site_type_symbol
_atom_site_fract_x
_atom_site_fract_y
_atom_site_fract_z
Y1 Y 0.0000 0.0000 0.0000
Sc1 Sc 0.5000 0.5000 0.5000
Cu1 Cu 0.5000 0.5000 0.0000
C1 C 0.0000 0.5000 0.5000


Entry 8:
# PmHgPAu PBE optimized geometry
# energy: -61.75 eV for the cell shown
data_PmHgPAu
_chemical_formula_sum 'Pm4 Hg4 P4 Au4'
_cell_length_a 7.0863
_cell_length_b 7.0863
_cell_length_c 7.0863
_cell_angle_alpha 90.00
_cell_angle_beta 90.00
_cell_angle_gamma 90.00
_space_group_name_H-M_alt 'F -4 3 m'
_space_group_IT_number 216
_space_group_name_Hall 'F -4 2 3'
loop_
_atom_site_label
_atom_site_type_symbol
_atom_site_fract_x
_atom_site_fract_y
_atom_site_fract_z
Pm1 Pm 0.0000 0.0000 0.0000
Hg1 Hg 0.0000 0.0000 0.5000
P1 P 0.2500 0.2500 0.7500
Au1 Au 0.2500 0.2500 0.2500


Entry 9:
# Os3RuCl PBE optimized geometry
# energy relative to the elements, uncorrected: 12.75 eV/f.u.
data_Os3RuCl
_chemical_formula_sum 'Os3 Ru1 Cl1'
_cell_length_a 4.7550
_cell_length_b 4.7550
_cell_length_c 4.7550
_cell_angle_alpha 90.00
_cell_angle_beta 90.00
_cell_angle_gamma 90.00
_space_group_name_H-M_alt 'P m -3 m'
_space_group_IT_number 221
_space_group_name_Hall '-P 4 2 3'
loop_
_atom_site_label
_atom_site_type_symbol
_atom_site_fract_x
_atom_site_fract_y
_atom_site_fract_z
Os1 Os 0.0000 0.0000 0.5000
Ru1 Ru 0.0000 0.0000 0.0000
Cl1 Cl 0.5000 0.5000 0.5000


Entry 10:
# UCuGe PBE optimized geometry
# energy: -20.29 eV for the cell shown
data_UCuGe
_chemical_formula_sum 'U1 Cu1 Ge1'
_cell_length_a 4.1459
_cell_length_b 4.1459
_cell_length_c 3.8868
_cell_angle_alpha 90.00
_cell_angle_beta 90.00
_cell_angle_gamma 120.00
_space_group_name_H-M_alt 'P -6 m 2'
_space_group_IT_number 187
_space_group_name_Hall 'P -6 2'
loop_
_atom_site_label
_atom_site_type_symbol
_atom_site_fract_x
_atom_site_fract_y
_atom_site_fract_z
U1 U 0.0000 0.0000 0.0000
Cu1 Cu 0.3333 0.6667 0.5000
Ge1 Ge 0.6667 0.3333 0.5000


Entry 11:
# Ac3In8Ni3 PBE optimized geometry
# energy: -111.68 eV for the cell shown
data_Ac3In8Ni3
_chemical_formula_sum 'Ac6 In16 Ni6'
_cell_length_a 17.5501
_cell_length_b 4.9811
_cell_length_c 9.3524
_cell_angle_alpha 90.00
_cell_angle_beta 122.04
_cell_angle_gamma 90.00
_space_group_name_H-M_alt 'C 1 2/m 1'
_space_group_IT_number 12
loop_
_space_group_symop_operation_xyz
'x,y,z'
'-x,-y,-z'
'-x,y,-z'
'x,-y,z'
'x+1/2,y+1/2,z'
'-x+1/2,-y+1/2,-z'
'-x+1/2,y+1/2,-z'
'x+1/2,-y+1/2,z'
loop_
_atom_site_label
_atom_site_type_symbol
_atom_site_fract_x
_atom_site_fract_y
_atom_site_fract_z
Ac1 Ac 0.0000 0.0000 0.0000
Ac2 Ac 0.2174 0.5000 0.7139
In1 In 0.0111 0.5000 0.6795
In2 In 0.1317 0.0000 0.4349
In3 In 0.1485 0.0000 0.8617
In4 In 0.1476 0.5000 0.2611
Ni1 Ni 0.0000 0.0000 0.5000
Ni2 Ni 0.1581 0.5000 0.9911


Entry 12:
# SmDy PBE optimized geometry
# energy: -54.44 eV for the cell shown
data_SmDy
_chemical_formula_sum 'Sm6 Dy6'
_cell_length_a 3.5528
_cell_length_b 18.3267
_cell_length_c 6.1409
_cell_angle_alpha 90.00
_cell_angle_beta 90.00
_cell_angle_gamma 90.00
_space_group_name_H-M_alt 'I m m 2'
_space_group_IT_number 44
loop_
_space_group_symop_operation_xyz
'x,y,z'
'-x,-y,z'
'-x,y,z'
'x,-y,z'
'x+1/2,y+1/2,z+1/2'
'-x+1/2,-y+1/2,z+1/2'
'-x+1/2,y+1/2,z+1/2'
'x+1/2,-y+1/2,z+1/2'
loop_
_atom_site_label
_atom_site_type_symbol
_atom_site_fract_x
_atom_site_fract_y
_atom_site_fract_z
Sm1 Sm 0.0000 0.0000 0.0000
Sm2 Sm 0.0000 0.1568 0.3337
Dy1 Dy 0.0000 0.3420 0.3335
Dy2 Dy 0.0000 0.5000 0.0024